Entry from Alexandria via LeMat-Bulk: an optimized crystal structure of LaNbRhC2 (PBE-GGA).

Structure (POSCAR):
```
LaNbRhC2
1.0
-1.185 2.046 3.625
2.504 -3.265 2.662
3.527 2.496 -0.256
C La Nb Rh
2 1 1 1
Cartesian
1.763 1.248 -0.128
-0.592 1.023 1.813
0.000 0.000 0.000
2.423 0.638 3.015
1.252 -1.633 1.331
```

Results
Total magnetization, μB per cell: 0.00
Space group: P4/mmm
Density, Mg/m³: 6.5
Energy, eV/atom: -5.769
Density of states at the Fermi level, states/eV per atom: 0.969